Entry 1:
Compound: RbAlTl2Cd
Source: Alexandria
Functional: PBE
Structure: optimized geometry

```
RbAlTl2Cd
1.0
5.729 0.000 0.000
0.000 5.729 0.000
0.000 0.000 5.338
Rb Al Tl Cd
1 1 2 1
direct
0.000 0.000 0.000
0.500 0.500 0.500
0.000 0.500 0.500
0.500 0.000 0.500
0.500 0.500 0.000
```

As for the space group: P4/mmm. The calculation puts the total energy at -1.96 eV/atom. The value obtained for the formation energy is 0.1109 eV/atom. The calculation puts the spin magnetization at 0.0 μB/f.u.

Entry 2:
Compound: RbAlTlCd
Source: Alexandria
Functional: PBE
Structure: optimized geometry

```
RbAlTlCd
1.0
4.238 -2.369 0.000
4.238 2.369 0.000
-2.794 0.000 6.962
Rb Al Tl Cd
1 1 1 1
direct
0.000 0.000 0.000
0.802 0.802 0.426
0.202 0.202 0.620
0.457 0.457 0.381
```

As for the space group: Cm. The calculation puts the total energy at -1.93 eV/atom. The value obtained for the formation energy is 0.0648 eV/atom. The calculation puts the spin magnetization at 0.0 μB/f.u.

Entry 3:
Compound: RbAlTlCd2
Source: Alexandria
Functional: PBE
Structure: optimized geometry

```
RbAlTlCd2
1.0
5.435 0.000 0.000
0.000 5.435 0.000
0.000 0.000 5.701
Rb Al Tl Cd
1 1 1 2
direct
0.000 0.000 0.000
0.500 0.500 0.500
0.500 0.500 0.000
0.000 0.500 0.500
0.500 0.000 0.500
```

As for the space group: P4/mmm. The calculation puts the total energy at -1.67 eV/atom. The value obtained for the formation energy is 0.1089 eV/atom. The calculation puts the spin magnetization at 0.0 μB/f.u.

Entry 4:
Compound: RbYAlCd2
Source: Alexandria
Functional: PBE
Structure: optimized geometry

```
RbYAlCd2
1.0
5.717 0.000 0.000
0.000 5.717 0.000
0.000 0.000 5.608
Rb Y Al Cd
1 1 1 2
direct
0.000 0.000 0.000
0.500 0.500 0.500
0.000 0.000 0.500
0.000 0.500 0.000
0.500 0.000 0.000
```

As for the space group: P4/mmm. The calculation puts the total energy at -1.53 eV/atom. The value obtained for the formation energy is 1.0739 eV/atom. The calculation puts the spin magnetization at 0.0 μB/f.u.

Entry 5:
Compound: Rb2YAlCd
Source: Alexandria
Functional: PBE
Structure: optimized geometry

```
Rb2YAlCd
1.0
7.022 0.000 0.000
0.000 7.022 0.000
0.000 0.000 5.720
Rb Y Al Cd
2 1 1 1
direct
0.000 0.500 0.000
0.500 0.000 0.000
0.000 0.000 0.500
0.000 0.000 0.000
0.500 0.500 0.500
```

As for the space group: P4/mmm. The calculation puts the total energy at -2.06 eV/atom. The value obtained for the formation energy is 0.5511 eV/atom. The calculation puts the spin magnetization at 0.0 μB/f.u.

Entry 6:
Compound: Al2CdRe
Source: Alexandria
Functional: PBE
Structure: optimized geometry

```
Al2CdRe
1.0
1.799 -2.145 0.000
1.799 2.145 0.000
0.000 0.000 8.777
Al Cd Re
2 1 1
direct
0.000 0.000 0.000
0.500 0.500 0.243
0.500 0.500 0.724
0.000 0.000 0.460
```

As for the space group: Cmm2. The calculation puts the total energy at -4.93 eV/atom. The value obtained for the formation energy is 0.2811 eV/atom. The calculation puts the spin magnetization at 0.0 μB/f.u.

Entry 7:
Compound: Al3CdRe
Source: Alexandria
Functional: PBE
Structure: optimized geometry

```
Al3CdRe
1.0
4.820 0.000 0.000
0.000 4.820 0.000
0.000 0.000 4.820
Al Cd Re
3 1 1
direct
0.000 0.000 0.500
0.000 0.500 0.000
0.500 0.000 0.000
0.500 0.500 0.500
0.000 0.000 0.000
```

As for the space group: Pm-3m. The calculation puts the total energy at -4.56 eV/atom. The value obtained for the formation energy is 0.3602 eV/atom. The calculation puts the spin magnetization at 0.0 μB/f.u.

Entry 8:
Compound: AlCdRe
Source: Alexandria
Functional: PBE
Structure: optimized geometry

```
AlCdRe
1.0
-1.411 1.411 6.425
1.411 -1.411 6.425
1.411 1.411 -6.425
Al Cd Re
1 1 1
direct
0.000 0.000 0.000
0.315 0.315 0.000
0.640 0.640 0.000
```

As for the space group: I4mm. The calculation puts the total energy at -5.33 eV/atom. The value obtained for the formation energy is 0.3764 eV/atom. The calculation puts the spin magnetization at 0.0 μB/f.u.

Entry 9:
Compound: Al2CdRe
Source: Alexandria
Functional: PBE
Structure: optimized geometry

```
Al2CdRe
1.0
3.292 0.000 0.000
0.000 3.292 0.000
0.000 0.000 6.035
Al Cd Re
2 1 1
direct
0.000 0.000 0.213
0.000 0.000 0.787
0.500 0.500 0.500
0.500 0.500 0.000
```

As for the space group: P4/mmm. The calculation puts the total energy at -5.20 eV/atom. The value obtained for the formation energy is 0.0077 eV/atom. The calculation puts the spin magnetization at 0.0 μB/f.u.

Entry 10:
Compound: Al2CdRe
Source: Alexandria
Functional: PBE
Structure: optimized geometry

```
Al2CdRe
1.0
4.938 -1.388 0.000
4.938 1.388 0.000
-0.625 0.000 4.782
Al Cd Re
2 1 1
direct
0.000 0.000 0.000
0.241 0.241 0.711
0.760 0.760 0.225
0.507 0.507 0.514
```

As for the space group: Cm. The calculation puts the total energy at -5.08 eV/atom. The value obtained for the formation energy is 0.1314 eV/atom. The calculation puts the spin magnetization at 0.0 μB/f.u.

Entry 11:
Compound: AlCdRe
Source: Alexandria
Functional: PBE
Structure: optimized geometry

```
AlCdRe
1.0
0.000 2.238 6.790
1.681 0.000 6.790
1.681 2.238 0.000
Al Cd Re
1 1 1
direct
0.000 0.000 0.000
0.319 0.319 0.681
0.642 0.642 0.358
```

As for the space group: Fmm2. The calculation puts the total energy at -5.33 eV/atom. The value obtained for the formation energy is 0.3673 eV/atom. The calculation puts the spin magnetization at 0.0 μB/f.u.

Entry 12:
Compound: Al2CdRe
Source: Alexandria
Functional: PBE
Structure: optimized geometry

```
Al2CdRe
1.0
4.608 -1.403 0.000
4.608 1.403 0.000
-0.736 0.000 5.156
Al Cd Re
2 1 1
direct
0.237 0.237 0.218
0.763 0.763 0.782
0.000 0.000 0.500
0.500 0.500 0.000
```

As for the space group: C2/m. The calculation puts the total energy at -5.06 eV/atom. The value obtained for the formation energy is 0.1568 eV/atom. The calculation puts the spin magnetization at 0.0 μB/f.u.

Entry 13:
Compound: Al4CdRe
Source: Alexandria
Functional: PBE
Structure: optimized geometry

```
Al4CdRe
1.0
0.000 3.628 3.628
3.628 0.000 3.628
3.628 3.628 0.000
Al Cd Re
4 1 1
direct
0.124 0.124 0.124
0.124 0.124 0.628
0.124 0.628 0.124
0.628 0.124 0.124
0.500 0.500 0.500
0.750 0.750 0.750
```

As for the space group: F-43m. The calculation puts the total energy at -4.54 eV/atom. The value obtained for the formation energy is 0.1806 eV/atom. The calculation puts the spin magnetization at 0.0 μB/f.u.

Entry 14:
Compound: Al2CdRe
Source: Alexandria
Functional: PBE
Structure: optimized geometry

```
Al2CdRe
1.0
4.337 0.000 0.000
0.000 4.337 0.000
0.000 0.000 3.365
Al Cd Re
2 1 1
direct
0.000 0.500 0.000
0.500 0.000 0.000
0.000 0.000 0.500
0.500 0.500 0.500
```

As for the space group: P4/mmm. The calculation puts the total energy at -5.05 eV/atom. The value obtained for the formation energy is 0.1586 eV/atom. The calculation puts the spin magnetization at 0.0 μB/f.u.

Entry 15:
Compound: Al2CdRe
Source: Alexandria
Functional: PBE
Structure: optimized geometry

```
Al2CdRe
1.0
2.904 -3.922 0.000
2.904 3.922 0.000
-0.014 0.000 2.826
Al Cd Re
2 1 1
direct
0.000 0.500 0.000
0.500 0.000 0.000
0.000 0.000 0.500
0.500 0.500 0.500
```

As for the space group: C2/m. The calculation puts the total energy at -5.03 eV/atom. The value obtained for the formation energy is 0.1839 eV/atom. The calculation puts the spin magnetization at 0.0 μB/f.u.

Entry 16:
Compound: AlCdRe
Source: Alexandria
Functional: PBE
Structure: optimized geometry

```
AlCdRe
1.0
2.887 0.000 0.000
-1.444 2.500 0.000
0.000 0.000 7.021
Al Cd Re
1 1 1
direct
0.000 0.000 0.000
0.333 0.667 0.357
0.667 0.333 0.708
```

As for the space group: P3m1. The calculation puts the total energy at -5.41 eV/atom. The value obtained for the formation energy is 0.2930 eV/atom. The calculation puts the spin magnetization at 0.0 μB/f.u.

Entry 17:
Compound: Al2CdRe
Source: Alexandria
Functional: PBE
Structure: optimized geometry

```
Al2CdRe
1.0
1.475 0.851 9.105
-1.475 0.851 9.105
0.000 -1.703 9.105
Al Cd Re
2 1 1
direct
0.240 0.240 0.240
0.760 0.760 0.760
0.000 0.000 0.000
0.500 0.500 0.500
```

As for the space group: R-3m. The calculation puts the total energy at -5.12 eV/atom. The value obtained for the formation energy is 0.0873 eV/atom. The calculation puts the spin magnetization at 0.0 μB/f.u.

Entry 18:
Compound: Al2CdRe
Source: Alexandria
Functional: PBE
Structure: optimized geometry

```
Al2CdRe
1.0
-3.646 3.646 2.807
3.646 -3.646 2.807
3.646 3.646 -2.807
Al Cd Re
4 2 2
direct
0.093 0.625 0.968
0.375 0.343 0.468
0.657 0.125 0.032
0.875 0.907 0.532
0.250 0.750 0.500
0.500 0.500 0.000
0.000 0.000 0.000
0.750 0.250 0.500
```

As for the space group: I-42d. The calculation puts the total energy at -4.60 eV/atom. The value obtained for the formation energy is 0.6121 eV/atom. The calculation puts the spin magnetization at 0.0 μB/f.u.

Entry 19:
Compound: Al2CdRe2
Source: Alexandria
Functional: PBE
Structure: optimized geometry

```
Al2CdRe2
1.0
7.694 0.000 0.000
0.000 7.694 0.000
0.000 0.000 2.835
Al Cd Re
4 2 4
direct
0.179 0.321 0.000
0.321 0.821 0.000
0.679 0.179 0.000
0.821 0.679 0.000
0.000 0.000 0.500
0.500 0.500 0.500
0.113 0.613 0.500
0.387 0.113 0.500
0.613 0.887 0.500
0.887 0.387 0.500
```

As for the space group: P4/mbm. The calculation puts the total energy at -6.48 eV/atom. The value obtained for the formation energy is 0.1759 eV/atom. The calculation puts the spin magnetization at 0.0 μB/f.u.

Entry 20:
Compound: Al2CdRe
Source: Alexandria
Functional: PBE
Structure: optimized geometry

```
Al2CdRe
1.0
3.446 0.000 0.000
0.000 3.446 0.000
0.000 0.000 5.583
Al Cd Re
2 1 1
direct
0.000 0.000 0.000
0.500 0.500 0.268
0.000 0.000 0.517
0.500 0.500 0.811
```

As for the space group: P4mm. The calculation puts the total energy at -5.04 eV/atom. The value obtained for the formation energy is 0.1690 eV/atom. The calculation puts the spin magnetization at 0.0 μB/f.u.

Entry 21:
Compound: AlCdRe
Source: Alexandria
Functional: PBE
Structure: optimized geometry

```
AlCdRe
1.0
0.000 3.034 3.034
3.034 0.000 3.034
3.034 3.034 0.000
Al Cd Re
1 1 1
direct
0.000 0.000 0.000
0.750 0.750 0.750
0.250 0.250 0.250
```

As for the space group: F-43m. The calculation puts the total energy at -4.90 eV/atom. The value obtained for the formation energy is 0.8020 eV/atom. The calculation puts the spin magnetization at 0.0 μB/f.u.

Entry 22:
Compound: Al2CdRe
Source: Alexandria
Functional: PBE
Structure: optimized geometry

```
Al2CdRe
1.0
2.806 0.000 0.000
0.000 2.806 0.000
0.000 0.000 8.577
Al Cd Re
2 1 1
direct
0.000 0.000 0.000
0.500 0.500 0.245
0.000 0.000 0.519
0.500 0.500 0.784
```

As for the space group: P4mm. The calculation puts the total energy at -4.94 eV/atom. The value obtained for the formation energy is 0.2737 eV/atom. The calculation puts the spin magnetization at 0.0 μB/f.u.

Entry 23:
Compound: AlCdRe
Source: Alexandria
Functional: PBE
Structure: optimized geometry

```
AlCdRe
1.0
-1.374 2.007 4.711
1.374 -2.007 4.711
1.374 2.007 -4.711
Al Cd Re
1 1 1
direct
0.000 0.000 0.000
0.700 0.700 0.000
0.392 0.392 0.000
```

As for the space group: Imm2. The calculation puts the total energy at -5.39 eV/atom. The value obtained for the formation energy is 0.3163 eV/atom. The calculation puts the spin magnetization at 0.0 μB/f.u.

Entry 24:
Compound: Al2CdRe
Source: Alexandria
Functional: PBE
Structure: optimized geometry

```
Al2CdRe
1.0
0.000 3.206 3.206
3.206 0.000 3.206
3.206 3.206 0.000
Al Cd Re
2 1 1
direct
0.000 0.000 0.000
0.250 0.250 0.250
0.750 0.750 0.750
0.500 0.500 0.500
```

As for the space group: F-43m. The calculation puts the total energy at -4.75 eV/atom. The value obtained for the formation energy is 0.4664 eV/atom. The calculation puts the spin magnetization at 0.0 μB/f.u.

Entry 25:
Compound: Al2CdRe
Source: Alexandria
Functional: PBE
Structure: optimized geometry

```
Al2CdRe
1.0
1.412 0.815 9.902
-1.412 0.815 9.902
0.000 -1.631 9.902
Al Cd Re
2 1 1
direct
0.000 0.000 0.000
0.254 0.254 0.254
0.762 0.762 0.762
0.516 0.516 0.516
```

As for the space group: R3m. The calculation puts the total energy at -5.02 eV/atom. The value obtained for the formation energy is 0.1877 eV/atom. The calculation puts the spin magnetization at 0.0 μB/f.u.

Entry 26:
Compound: Al2CdRe
Source: Alexandria
Functional: PBE
Structure: optimized geometry

```
Al2CdRe
1.0
2.792 0.000 0.000
0.000 4.846 0.000
0.000 0.000 4.815
Al Cd Re
2 1 1
direct
0.000 0.000 0.000
0.500 0.500 0.213
0.000 0.500 0.708
0.500 0.000 0.481
```

As for the space group: Pmm2. The calculation puts the total energy at -5.11 eV/atom. The value obtained for the formation energy is 0.0996 eV/atom. The calculation puts the spin magnetization at 0.0 μB/f.u.

Entry 27:
Compound: Al2CdRe
Source: Alexandria
Functional: PBE
Structure: optimized geometry

```
Al2CdRe
1.0
-1.971 2.026 4.028
1.971 -2.026 4.028
1.971 2.026 -4.028
Al Cd Re
2 1 1
direct
0.249 0.249 0.000
0.751 0.751 0.000
0.500 0.000 0.500
0.000 0.500 0.500
```

As for the space group: Immm. The calculation puts the total energy at -5.10 eV/atom. The value obtained for the formation energy is 0.1159 eV/atom. The calculation puts the spin magnetization at 0.5 μB/f.u.

Entry 28:
Compound: Al2CdRe
Source: Alexandria
Functional: PBE
Structure: optimized geometry

```
Al2CdRe
1.0
-1.721 2.097 4.450
1.721 -2.097 4.450
1.721 2.097 -4.450
Al Cd Re
2 1 1
direct
0.000 0.000 0.000
0.741 0.241 0.500
0.254 0.754 0.500
0.513 0.513 0.000
```

As for the space group: Imm2. The calculation puts the total energy at -5.12 eV/atom. The value obtained for the formation energy is 0.0905 eV/atom. The calculation puts the spin magnetization at 0.0 μB/f.u.

Entry 29:
Compound: Al2Cd2Re
Source: Alexandria
Functional: PBE
Structure: optimized geometry

```
Al2Cd2Re
1.0
-1.800 1.800 7.435
1.800 -1.800 7.435
1.800 1.800 -7.435
Al Cd Re
2 2 1
direct
0.083 0.083 0.000
0.917 0.917 0.000
0.250 0.750 0.500
0.750 0.250 0.500
0.500 0.500 0.000
```

As for the space group: I4/mmm. The calculation puts the total energy at -3.69 eV/atom. The value obtained for the formation energy is 0.6655 eV/atom. The calculation puts the spin magnetization at 0.0 μB/f.u.